First-principles (GGA-PBE) data for TlAgTeO3 after structural relaxation, as listed in OQMD via LeMat-Bulk.

Results
uncorrected energy = -4.59 eV per atom

a b c (Å): 5.1033 9.5788 9.5788
angles (deg): 102.11 105.45 105.45
Element x y z (fractional)
Ag1 0.8761 0.6253 0.1410
Ag2 0.6098 0.8590 0.3747
Ag3 0.3761 0.1410 0.6253
Ag4 0.1098 0.3747 0.8590
O1 0.2539 0.2437 0.0435
O2 0.4023 0.6580 0.1148
O3 0.8542 0.4015 0.2067
O4 0.7539 0.0435 0.2437
O5 0.1295 0.8852 0.3420
O6 0.3542 0.2067 0.4015
O7 0.7460 0.7933 0.5985
O8 0.9023 0.1148 0.6580
O9 0.4667 0.9565 0.7563
O10 0.2460 0.5985 0.7933
O11 0.6295 0.3420 0.8852
O12 0.9667 0.7563 0.9565
Te1 0.6159 0.2339 0.0303
Te2 0.1159 0.0303 0.2339
Te3 0.8517 0.9697 0.7661
Te4 0.3517 0.7661 0.9697
Tl1 0.4075 0.4774 0.2944
Tl2 0.9075 0.2944 0.4774
Tl3 0.1357 0.7056 0.5226
Tl4 0.6357 0.5226 0.7056